Density functional theory data (PBE-GGA) for a relaxed structure of SbWBr3.

Summary:
total DFT energy (no corrections)	-3.77	eV per atom
relative energy among the computed polymorphs	0	meV per atom
energy relative to the elements, uncorrected	647	meV/atom

Lattice parameters (Å, degrees): 5.348 5.348 5.348 90.00 90.00 90.00
Last column: magnetic moment on the atom in μB.
Sites, in units of the cell vectors:
Br: 0.500 0.000 0.000  0.08
Br: 0.000 0.500 0.000  0.04
Br: 0.000 0.000 0.500  0.11
Sb: 0.500 0.500 0.500  0.93
W: 0.000 0.000 0.000  2.65

Density functional theory data (PBE-GGA) for a relaxed structure of Sb2WBr.

Summary:
total DFT energy (no corrections)	-4.83	eV per atom
relative energy among the computed polymorphs	633	meV per atom
energy relative to the elements, uncorrected	891	meV/atom

Lattice parameters (Å, degrees): 5.395 5.395 3.053 90.00 90.00 90.05
Last column: magnetic moment on the atom in μB.
Sites, in units of the cell vectors:
Sb: 0.500 0.500 0.000  -0.01
Sb: 0.000 0.000 0.000  -0.01
W: 0.500 0.000 0.500  0.38
Br: 0.000 0.500 0.500  0.00

Density functional theory data (PBE-GGA) for a relaxed structure of SbWBr2.

Summary:
total DFT energy (no corrections)	-4.94	eV per atom
relative energy among the computed polymorphs	79	meV per atom
energy relative to the elements, uncorrected	170	meV/atom

Lattice parameters (Å, degrees): 3.323 7.568 7.555 41.78 90.00 90.00
Last column: magnetic moment on the atom in μB.
Sites, in units of the cell vectors:
Sb: 0.500 0.250 0.250  -0.06
W: 0.500 0.750 0.750  0.70
Br: 0.000 0.892 0.892  0.03
Br: 0.000 0.608 0.608  0.03

Density functional theory data (PBE-GGA) for a relaxed structure of Sb2WBr.

Summary:
total DFT energy (no corrections)	-5.04	eV per atom
relative energy among the computed polymorphs	423	meV per atom
energy relative to the elements, uncorrected	681	meV/atom

Lattice parameters (Å, degrees): 7.606 5.696 3.123 73.53 90.80 132.18
Sites, in units of the cell vectors:
Sb: 0.000 0.000 0.000
Sb: 0.500 0.000 0.500
Br: 0.500 0.500 0.000
W: 0.000 0.500 0.500

Density functional theory data (PBE-GGA) for a relaxed structure of SbWBr2.

Summary:
total DFT energy (no corrections)	-4.61	eV per atom
relative energy among the computed polymorphs	409	meV per atom
energy relative to the elements, uncorrected	500	meV/atom

Lattice parameters (Å, degrees): 3.364 3.364 12.444 90.00 90.00 125.59
Last column: magnetic moment on the atom in μB.
Sites, in units of the cell vectors:
Br: 0.000 0.000 0.916  0.02
Br: 0.000 0.000 0.584  0.02
Sb: 0.500 0.500 0.250  0.00
W: 0.500 0.500 0.750  0.79

Density functional theory data (PBE-GGA) for a relaxed structure of SbWBr2.

Summary:
total DFT energy (no corrections)	-4.47	eV per atom
relative energy among the computed polymorphs	541	meV per atom
energy relative to the elements, uncorrected	632	meV/atom

Lattice parameters (Å, degrees): 3.121 3.121 10.132 90.00 90.00 90.00
Sites, in units of the cell vectors:
Br: 0.000 0.000 0.910
Br: 0.000 0.000 0.590
W: 0.500 0.500 0.750
Sb: 0.500 0.500 0.250

- Look up the total DFT energy (no corrections) of the second one.
  -4.83 eV per atom

What did the fifth record say?
Density functional theory data (PBE-GGA) for a relaxed structure of SbWBr2.

Summary:
total DFT energy (no corrections)	-4.61	eV per atom
relative energy among the computed polymorphs	409	meV per atom
energy relative to the elements, uncorrected	500	meV/atom

Lattice parameters (Å, degrees): 3.364 3.364 12.444 90.00 90.00 125.59
Last column: magnetic moment on the atom in μB.
Sites, in units of the cell vectors:
Br: 0.000 0.000 0.916  0.02
Br: 0.000 0.000 0.584  0.02
Sb: 0.500 0.500 0.250  0.00
W: 0.500 0.500 0.750  0.79